Entry from Alexandria via LeMat-Bulk: BaZrTe after structural relaxation (PBE).

Computed properties:
- ΔE to the lowest computed polymorph: 41 kJ/mol of formula units
- DOS(E_F): 3.46 states/eV/f.u.
- Crystal system: hexagonal

Unit cell a=5.0110 b=5.0110 c=4.9129 alpha=90.00 beta=90.00 gamma=120.00
Last column: nearest neighbours and their distance in Å.
Space group P-6m2 (No. 187)
Inequivalent atoms, fractional coordinates:
Ba 0.0000 0.0000 0.0000 (multiplicity 1)  6 Zr 3.80, 6 Te 3.80
Zr 0.3333 0.6667 0.5000 (multiplicity 1)  3 Te 2.89
Te 0.6667 0.3333 0.5000 (multiplicity 1)  3 Zr 2.89